(1)
TbPaIr2 | GGA-PBE | optimized geometry

Cell: 5.926 4.091 7.683 Å, 90.00 110.53 90.00°
Fractional positions:
Tb: 0.222 0.250 0.436
Tb: 0.778 0.750 0.564
Pa: 0.217 0.250 0.930
Pa: 0.783 0.750 0.070
Ir: 0.293 0.750 0.187
Ir: 0.324 0.750 0.731
Ir: 0.676 0.250 0.269
Ir: 0.707 0.250 0.813

Properties
* energy of formation from the pure elements: -0.924 eV per atom

=====

(2)
Tb5PaIr4 | GGA-PBE | optimized geometry

Cell: 9.384 9.384 9.384 Å, 154.63 132.50 54.61°
Fractional positions:
Tb: 0.000 0.000 0.000
Tb: 0.090 0.334 0.756
Tb: 0.423 0.666 0.756
Tb: 0.577 0.334 0.244
Tb: 0.910 0.666 0.244
Pa: 0.500 0.000 0.500
Ir: 0.258 0.500 0.758
Ir: 0.307 0.807 0.500
Ir: 0.693 0.193 0.500
Ir: 0.742 0.500 0.242

Properties
* energy of formation from the pure elements: -0.705 eV per atom

=====

(3)
TbPaIr2 | GGA-PBE | optimized geometry

Cell: 7.152 7.152 7.152 Å, 32.00 32.00 32.00°
Fractional positions:
Tb: 0.000 0.000 0.000
Pa: 0.500 0.500 0.500
Ir: 0.244 0.244 0.244
Ir: 0.756 0.756 0.756

Properties
* energy of formation from the pure elements: -0.816 eV per atom

=====

(4)
TbPaIr | GGA-PBE | optimized geometry

Cell: 4.800 4.800 4.800 Å, 60.00 60.00 60.00°
Fractional positions:
Tb: 0.000 0.000 0.000
Pa: 0.500 0.500 0.500
Ir: 0.250 0.250 0.250

Properties
* energy of formation from the pure elements: -0.333 eV per atom

=====

(5)
TbPaIr2 | GGA-PBE | optimized geometry

Cell: 8.543 5.672 7.155 Å, 90.00 90.57 90.00°
Fractional positions:
Tb: 0.120 0.148 0.179
Tb: 0.120 0.352 0.679
Tb: 0.880 0.648 0.321
Tb: 0.880 0.852 0.821
Pa: 0.371 0.658 0.322
Pa: 0.371 0.842 0.822
Pa: 0.629 0.158 0.178
Pa: 0.629 0.342 0.678
Ir: 0.141 0.653 0.048
Ir: 0.141 0.847 0.548
Ir: 0.389 0.185 0.441
Ir: 0.389 0.315 0.941
Ir: 0.611 0.685 0.059
Ir: 0.611 0.815 0.559
Ir: 0.859 0.153 0.452
Ir: 0.859 0.347 0.952

Properties
* energy of formation from the pure elements: -0.911 eV per atom

=====

(6)
Tb2PaIr2 | GGA-PBE | optimized geometry

Cell: 6.371 6.371 7.301 Å, 99.94 99.94 56.60°
Fractional positions:
Tb: 0.033 0.272 0.149
Tb: 0.272 0.033 0.649
Tb: 0.728 0.967 0.351
Tb: 0.967 0.728 0.851
Pa: 0.404 0.596 0.250
Pa: 0.596 0.404 0.750
Ir: 0.207 0.500 0.489
Ir: 0.500 0.207 0.989
Ir: 0.500 0.793 0.011
Ir: 0.793 0.500 0.511

Properties
* energy of formation from the pure elements: -0.761 eV per atom

=====

(7)
TbPa2Ir | GGA-PBE | optimized geometry

Cell: 10.273 10.273 10.273 Å, 19.80 19.80 19.80°
Fractional positions:
Tb: 0.000 0.000 0.000
Pa: 0.104 0.104 0.104
Pa: 0.896 0.896 0.896
Ir: 0.500 0.500 0.500

Properties
* energy of formation from the pure elements: 0.078 eV per atom

=====

(8)
TbPaIr2 | GGA-PBE | optimized geometry

Cell: 3.477 3.477 6.987 Å, 90.00 90.00 90.00°
Fractional positions:
Tb: 0.000 0.000 0.000
Pa: 0.000 0.000 0.500
Ir: 0.500 0.500 0.278
Ir: 0.500 0.500 0.722

Properties
* energy of formation from the pure elements: -0.765 eV per atom

=====

Table of D(E_F) (states/eV/atom), in record order: 0.75 0.45 0.45 1.81 0.76 0.97 2.31 0.84